# 1
DFT (PBE) results for an optimized crystal structure of Ac15Tb4Pr.

Geometry as extended XYZ:
```
20
Lattice="5.5138 0.0000 0.0000 0.0000 5.5138 0.0000 0.0000 0.0000 27.4320" Properties=species:S:1:pos:R:3 pbc="T T T"
Ac 0.0000 2.7569 19.1799
Ac 2.7569 0.0000 19.1799
Ac 0.0000 2.7569 2.7827
Ac 2.7569 0.0000 24.6494
Tb 0.0000 0.0000 10.9833
Ac 2.7569 2.7569 0.0000
Ac 0.0000 2.7569 8.2521
Ac 2.7569 0.0000 2.7827
Ac 2.7569 0.0000 8.2521
Ac 2.7569 0.0000 13.7160
Ac 2.7569 2.7569 16.4476
Ac 0.0000 2.7569 13.7160
Tb 0.0000 0.0000 5.5204
Ac 0.0000 2.7569 24.6494
Tb 0.0000 0.0000 21.9116
Ac 2.7569 2.7569 21.9119
Ac 2.7569 2.7569 5.5202
Ac 2.7569 2.7569 10.9844
Tb 0.0000 0.0000 16.4488
Pr 0.0000 0.0000 0.0000
```

Values from the calculation:
DOS(E_F)   27.5 states/eV per cell
Total magnetic moment   0.00 Bohr magnetons per cell
Formation energy   30 meV per atom

# 2
DFT (PBE) results for an optimized crystal structure of AcTb2Pr8.

Geometry as extended XYZ:
```
11
Lattice="5.4560 0.0006 -1.6554 -1.0592 7.8436 -3.4883 -0.0410 -0.4738 9.6697" Properties=species:S:1:pos:R:3 pbc="T T T"
Pr 1.3188 4.0344 4.3347
Pr 1.7470 0.8625 5.7448
Pr -0.7440 5.5106 -2.4505
Ac 2.7280 0.0003 -0.8277
Tb 4.0224 2.0657 3.4225
Pr 3.6661 6.2681 2.2572
Tb 0.3335 5.3047 1.1036
Pr 2.6088 6.5079 -1.2187
Pr 0.6898 1.1022 2.2689
Pr 3.0370 3.3360 0.1914
Pr 5.0999 1.8598 6.9766
```

Values from the calculation:
DOS(E_F)   15.8 states/eV per cell
Offset from the most stable computed form   0.000 eV/atom
Total magnetic moment   0.00 Bohr magnetons per cell
Formation energy   113 meV per atom

# 3
DFT (PBE) results for an optimized crystal structure of Ac8Tb2Pr.

Geometry as extended XYZ:
```
11
Lattice="6.1144 -0.1793 1.1837 1.6239 8.9436 0.8179 -0.2452 0.0331 9.1232" Properties=species:S:1:pos:R:3 pbc="T T T"
Tb 5.9819 2.1884 3.6941
Ac 5.1236 5.0759 6.5989
Ac 2.4676 7.6410 4.2669
Ac 2.3694 3.7214 4.5258
Tb 1.5112 6.6090 7.4307
Ac 1.5504 3.2687 8.3422
Ac 4.2858 7.5963 9.1144
Ac 3.2072 1.2010 2.0104
Ac 5.9426 5.5286 2.7825
Pr 0.0000 0.0000 0.0000
Ac 5.0254 1.1563 6.8579
```

Values from the calculation:
DOS(E_F)   16.8 states/eV per cell
Total magnetic moment   0.00 Bohr magnetons per cell
Formation energy   356 meV per atom

# 4
DFT (PBE) results for an optimized crystal structure of Ac7TbPr4.

Geometry as extended XYZ:
```
12
Lattice="6.8944 -1.9965 2.9524 0.7708 6.2556 2.3940 2.9218 -2.4781 11.7347" Properties=species:S:1:pos:R:3 pbc="T T T"
Pr 8.3032 1.5438 12.1402
Pr 4.4244 2.8985 6.8495
Ac 5.7486 -0.7749 6.3965
Ac 5.0422 0.1387 13.6217
Ac 4.8384 2.5559 10.6845
Ac 2.7168 -0.0592 8.7232
Pr 6.1627 -1.1175 10.2316
Ac 5.5448 1.6423 3.4593
Ac 7.8702 1.8403 8.3578
Pr 2.2838 0.2372 4.9409
Ac 3.4472 -0.9983 1.4762
Tb 0.0000 0.0000 0.0000
```

Values from the calculation:
DOS(E_F)   19.0 states/eV per cell
Total magnetic moment   0.00 Bohr magnetons per cell
Formation energy   32 meV per atom

# 5
DFT (PBE) results for an optimized crystal structure of Ac2TbPr3.

Geometry as extended XYZ:
```
12
Lattice="5.2371 0.0018 -1.1744 -0.6759 11.4930 -3.0401 -0.9081 -1.5666 8.2591" Properties=species:S:1:pos:R:3 pbc="T T T"
Ac 1.4978 0.0499 6.7153
Tb 3.3112 8.8352 2.5093
Pr -0.1006 4.2425 -0.4529
Pr 0.5751 6.2358 2.5727
Tb 0.3420 1.0930 1.5353
Ac 0.1251 9.3407 0.5580
Pr 1.0262 3.1846 4.6014
Pr 2.6270 6.7436 -0.5568
Pr 3.7537 5.6857 4.4975
Ac 2.1554 9.8783 -2.6707
Ac 3.5281 0.5875 3.4866
Pr 3.0781 3.6924 1.4719
```

Values from the calculation:
DOS(E_F)   18.5 states/eV per cell
Total magnetic moment   0.00 Bohr magnetons per cell
Formation energy   31 meV per atom

# 6
DFT (PBE) results for an optimized crystal structure of Ac4Tb6Pr.

Geometry as extended XYZ:
```
11
Lattice="-4.6417 2.7838 -7.7640 8.6943 -3.3289 1.7037 0.1085 -7.9113 5.1937" Properties=species:S:1:pos:R:3 pbc="T T T"
Ac 0.2267 -4.9366 3.2320
Tb -0.9828 -0.8832 -3.5775
Tb -2.2666 -2.5637 -1.2851
Ac 5.3599 -2.1970 1.1454
Ac 5.8657 -9.3691 2.1287
Tb 2.0263 -0.2725 -3.0301
Ac 1.5114 -3.1938 -0.4753
Tb 6.5933 -5.9337 3.5328
Pr 0.0000 0.0000 0.0000
Tb 3.5052 -5.4807 1.4270
Tb 3.8481 -7.3988 4.6486
```

Values from the calculation:
DOS(E_F)   16.7 states/eV per cell
Total magnetic moment   0.00 Bohr magnetons per cell
Formation energy   280 meV per atom